The following is a PBE+U calculation of crystalline VPt2F at its relaxed geometry, from the Alexandria database.

Results
Energy, hartree per atom: -0.199
V, Å³ per cell: 233.5

Cell lengths 6.1577, 6.1577, 6.1577 Å; angles 90.00, 90.00, 90.00 degrees
With the nearest neighbours (Å) after each atom.
Space group Fm-3m (No. 225)
Unique sites:
V  0.0000  0.0000  0.0000 x4  8 Pt 2.67
Pt  0.2500  0.2500  0.2500 x8  4 F 2.67, 4 V 2.67
F  0.0000  0.0000  0.5000 x4  8 Pt 2.67